No. 1
Below is an optimized crystal structure of TbPr3Ho, with properties calculated at the PBE-GGA level.

a = 6.2280 Å, b = 8.8967 Å, c = 12.6625 Å
α = 90.00°, β = 90.00°, γ = 90.00°
Fractional positions:
Tb (0.7500, 0.0000, 0.2983)
Tb (0.2500, 0.0000, 0.7017)
Tb (0.2500, 0.5000, 0.7983)
Tb (0.7500, 0.5000, 0.2017)
Pr (0.5844, 0.3280, 0.4383)
Pr (0.0844, 0.3280, 0.5617)
Pr (0.6624, 0.2500, 0.7500)
Pr (0.1624, 0.2500, 0.2500)
Pr (0.5844, 0.1720, 0.0617)
Pr (0.0844, 0.1720, 0.9383)
Pr (0.9156, 0.8280, 0.0617)
Pr (0.4156, 0.8280, 0.9383)
Pr (0.8376, 0.7500, 0.7500)
Pr (0.3376, 0.7500, 0.2500)
Pr (0.9156, 0.6720, 0.4383)
Pr (0.4156, 0.6720, 0.5617)
Ho (0.2500, 0.0000, 0.4413)
Ho (0.7500, 0.0000, 0.5587)
Ho (0.2500, 0.5000, 0.0587)
Ho (0.7500, 0.5000, 0.9413)

Calculated values
Space-group type: No. 52
Energy relative to the elements (meV per atom): 175

=====

No. 2
Below is an optimized crystal structure of TbPr2Ho, with properties calculated at the PBE-GGA level.

a = 5.0702 Å, b = 5.1563 Å, c = 5.1563 Å
α = 90.00°, β = 90.00°, γ = 90.00°
Fractional positions:
Pr (0.0000, 0.0000, 0.5000)
Pr (0.0000, 0.5000, 0.0000)
Tb (0.5000, 0.5000, 0.5000)
Ho (0.5000, 0.0000, 0.0000)

Calculated values
Space-group type: No. 123
Energy relative to the elements (meV per atom): 19

=====

| no. | ΔE to the lowest computed polymorph (meV/atom) | DFT total energy (eV per cell) |
| --- | --- | --- |
| 1 | 0 | -90.695 |
| 2 | 7 | -18.690 |